Run i
PrDyHoEr | PBE | relaxed

Values from the calculation:
Magnetic moment   0.000 μB/atom

a = 3.4422 Å, b = 5.6227 Å, c = 6.7442 Å
α = 90.00°, β = 90.00°, γ = 90.00°
Last column: nearest neighbours and their distance in Å.
Space group Pmm2 (No. 25)
Symmetry-distinct sites (fractional):
Pr: 0.0000 0.0000 0.0000 [1 per cell]  2 Ho 3.26-3.48, 2 Dy 3.30, 2 Pr 3.44
Dy: 0.0000 0.5000 0.2573 [1 per cell]  2 Pr 3.30, 2 Ho 3.31, 2 Dy 3.44
Ho: 0.0000 0.0000 0.5166 [1 per cell]  2 Pr 3.26-3.48, 2 Dy 3.31, 2 Ho 3.44, 4 Er 3.65
Er: 0.5000 0.5000 0.7488 [1 per cell]  2 Er 3.44, 4 Ho 3.65, 4 Pr 3.71, 4 Dy 3.73-3.84

=====

Run ii
PrDyHoEr | PBE | relaxed

Values from the calculation:
Magnetic moment   0.000 μB/atom

a = 8.0503 Å, b = 8.0503 Å, c = 8.0503 Å
α = 90.00°, β = 90.00°, γ = 90.00°
Last column: nearest neighbours and their distance in Å.
Space group F-43m (No. 216)
Symmetry-distinct sites (fractional):
Pr: 0.0000 0.0000 0.0000 [4 per cell]  4 Er 3.49, 4 Ho 3.49
Dy: 0.0000 0.0000 0.5000 [4 per cell]  4 Ho 3.49, 4 Er 3.49
Ho: 0.2500 0.2500 0.7500 [4 per cell]  4 Pr 3.49, 4 Dy 3.49
Er: 0.2500 0.2500 0.2500 [4 per cell]  4 Dy 3.49, 4 Pr 3.49

=====

Ranking the structures above by energy, run ii is first and the second is 68 meV/atom behind.